Compound: KSr2Zn
Source: Alexandria via LeMat-Bulk
Functional: SCAN
Structure: single point on PBEsol structure

The structure belongs to space group P4/mmm (No. 123); the cell edges are 3.9319, 3.9319 and 10.8245 Å and the angles 90.00°, 90.00° and 90.00°. The distinct sites, in fractional coordinates, are K at (0.0000, 0.0000, 0.0000), Sr at (0.5000, 0.5000, 0.3310) and Zn at (0.0000, 0.0000, 0.5000).

As for the density: 2.8 g/cm³. Its crystal system is tetragonal. The energy of formation is -0.0667 eV/atom. The calculation puts the total DFT energy (no corrections) at -66.66 eV per formula unit. For the total moment, the calculation gives 0.042 μB/f.u. As for the calculated volume: 41.8 Å³/atom. The calculation puts the density of states at the Fermi level at 3.3 states/eV/f.u.



Compound: KSr2Zn
Source: Alexandria via LeMat-Bulk
Functional: SCAN
Structure: single point on PBEsol structure

The structure belongs to space group F-43m (No. 216); the cell edges are 8.6422, 8.6422 and 8.6422 Å and the angles 90.00°, 90.00° and 90.00°. The distinct sites, in fractional coordinates, are K at (0.0000, 0.0000, 0.0000), Sr at (0.0000, 0.0000, 0.5000), Sr at (0.2500, 0.2500, 0.7500) and Zn at (0.2500, 0.2500, 0.2500).

As for the density: 2.9 g/cm³. Its crystal system is cubic. The energy of formation is 0.3049 eV/atom. The calculation puts the total DFT energy (no corrections) at -65.17 eV per formula unit. For the total moment, the calculation gives 0.001 μB/f.u. As for the calculated volume: 40.3 Å³/atom. The calculation puts the density of states at the Fermi level at 5.8 states/eV/f.u.